<1>
The following is a PBE calculation of an optimized crystal structure of Ac3TbTe6, from Alexandria.

D(E_F) in states/eV per atom: 0.0000

Lattice parameters (Å, degrees): 7.758 8.655 13.745 90.00 121.89 90.00
Space group P2_1/c (No. 14)
Asymmetric unit:
Ac 0.000 0.000 0.000
Ac 0.305 0.111 0.758
Tb 0.500 0.000 0.500
Te 0.107 0.051 0.263
Te 0.253 0.674 0.078
Te 0.416 0.186 0.073

***

<2>
The following is a PBE calculation of an optimized crystal structure of Ac3TbTe6, from Alexandria.

Lattice parameters (Å, degrees): 14.3728 14.3728 13.6145 90.00 90.00 120.00
Space group R-3 (No. 148, hexagonal axes)
Asymmetric unit:
Ac 0.0495 0.6098 0.3217
Tb 0.0000 0.0000 0.0000
Tb 0.0000 0.0000 0.5000
Te 0.0358 0.8302 0.3926
Te 0.0510 0.8480 0.8840

***

Short version: <1> is the most stable of them.

***

<1>
The following is a PBE calculation of an optimized crystal structure of AcTbTe2, from Alexandria.

D(E_F) in states/eV per atom: 0.9950

Lattice parameters (Å, degrees): 7.868 7.868 7.868 90.00 90.00 90.00
Space group Fm-3m (No. 225)
Asymmetric unit:
Ac 0.000 0.000 0.000
Tb 0.000 0.000 0.500
Te 0.250 0.250 0.250

***

<2>
The following is a PBE calculation of an optimized crystal structure of AcTbTe2, from Alexandria.

D(E_F) in states/eV per atom: 0.5034

Lattice parameters (Å, degrees): 4.645 10.200 7.218 90.00 90.00 90.00
Space group Pmn2_1 (No. 31)
Asymmetric unit:
Ac 0.000 0.088 0.000
Tb 0.000 0.660 0.849
Te 0.000 0.415 0.106
Te 0.000 0.807 0.207

***

<3>
The following is a PBE calculation of an optimized crystal structure of AcTbTe2, from Alexandria.

D(E_F) in states/eV per atom: 0.4871

Lattice parameters (Å, degrees): 4.3438 4.3438 24.6343 90.00 90.00 120.00
Space group R3m (No. 160, hexagonal axes)
Asymmetric unit:
Ac 0.0000 0.0000 0.0000
Tb 0.0000 0.0000 0.1738
Te 0.0000 0.0000 0.4267
Te 0.0000 0.0000 0.5798

***

Short version: <3> is the most stable of them.

***

<1>
The following is a PBE calculation of an optimized crystal structure of AcTbTe2, from Alexandria.

D(E_F) in states/eV per atom: 0.5058

Lattice parameters (Å, degrees): 4.5825 4.5825 29.7529 90.00 90.00 120.00
Space group R-3m (No. 166, hexagonal axes)
Asymmetric unit:
Ac 0.0000 0.0000 0.0000
Tb 0.0000 0.0000 0.5000
Te 0.0000 0.0000 0.3995

***

<2>
The following is a PBE calculation of an optimized crystal structure of AcTbTe2, from Alexandria.

D(E_F) in states/eV per atom: 0.5226

Lattice parameters (Å, degrees): 7.719 4.476 8.134 90.00 108.64 90.00
Space group C2/m (No. 12)
Asymmetric unit:
Ac 0.000 0.000 0.000
Tb 0.000 0.500 0.500
Te 0.241 0.000 0.724

***

Short version: <2> is the most stable of them.

***

<1>
The following is a PBE calculation of an optimized crystal structure of AcTb2Th, from Alexandria.

D(E_F) in states/eV per atom: 1.7378

Lattice parameters (Å, degrees): 8.232 8.232 8.232 90.00 90.00 90.00
Space group Fm-3m (No. 225)
Asymmetric unit:
Ac 0.000 0.000 0.000
Tb 0.250 0.250 0.250
Th 0.000 0.000 0.500

***

<2>
The following is a PBE calculation of an optimized crystal structure of AcTb2Th, from Alexandria.

D(E_F) in states/eV per atom: 1.1148

Lattice parameters (Å, degrees): 3.689 3.689 10.289 90.00 90.00 90.00
Space group P4/mmm (No. 123)
Asymmetric unit:
Ac 0.000 0.000 0.000
Tb 0.500 0.500 0.271
Th 0.000 0.000 0.500

***

<3>
The following is a PBE calculation of an optimized crystal structure of AcTb2Th, from Alexandria.

D(E_F) in states/eV per atom: 1.2434

Lattice parameters (Å, degrees): 3.6818 3.6818 23.7391 90.00 90.00 120.00
Space group P6_3/mmc (No. 194)
Asymmetric unit:
Ac 0.3333 0.6667 0.2500
Tb 0.3333 0.6667 0.6176
Th 0.0000 0.0000 0.0000

***

Short version: <2> is the most stable of them.

***

<1>
The following is a PBE calculation of an optimized crystal structure of AcTb2Th, from Alexandria.

D(E_F) in states/eV per atom: 1.4850

Lattice parameters (Å, degrees): 3.6060 3.6060 38.0088 90.00 90.00 120.00
Space group R-3m (No. 166, hexagonal axes)
Asymmetric unit:
Ac 0.0000 0.0000 0.0000
Tb 0.0000 0.0000 0.0938
Th 0.0000 0.0000 0.5000

***

<2>
The following is a PBE calculation of an optimized crystal structure of AcTb2Th, from Alexandria.

D(E_F) in states/eV per atom: 1.5291

Lattice parameters (Å, degrees): 3.6841 3.6841 35.6075 90.00 90.00 120.00
Space group R3m (No. 160, hexagonal axes)
Asymmetric unit:
Ac 0.0000 0.0000 0.0000
Tb 0.0000 0.0000 0.4196
Tb 0.0000 0.0000 0.5808
Th 0.0000 0.0000 0.1664

***

Short version: <2> is the most stable of them.

***

<1>
The following is a PBE calculation of an optimized crystal structure of AcTbTh2, from Alexandria.

D(E_F) in states/eV per atom: 1.3800

Lattice parameters (Å, degrees): 3.6592 3.6592 35.9854 90.00 90.00 120.00
Space group R3m (No. 160, hexagonal axes)
Asymmetric unit:
Ac 0.0000 0.0000 0.0000
Tb 0.0000 0.0000 0.1689
Th 0.0000 0.0000 0.5813
Th 0.0000 0.0000 0.7541

***

<2>
The following is a PBE calculation of an optimized crystal structure of AcTbTh2, from Alexandria.

D(E_F) in states/eV per atom: 1.5759

Lattice parameters (Å, degrees): 3.5875 3.5875 38.3486 90.00 90.00 120.00
Space group R-3m (No. 166, hexagonal axes)
Asymmetric unit:
Ac 0.0000 0.0000 0.0000
Tb 0.0000 0.0000 0.5000
Th 0.0000 0.0000 0.0910

***

Short version: <1> is the most stable of them.

***

<1>
The following is a PBE calculation of an optimized crystal structure of AcTbTh2, from Alexandria.

D(E_F) in states/eV per atom: 1.6587

Lattice parameters (Å, degrees): 4.261 4.261 7.756 90.00 90.00 90.00
Space group P4/mmm (No. 123)
Asymmetric unit:
Ac 0.000 0.000 0.000
Tb 0.000 0.000 0.500
Th 0.500 0.500 0.283

***

<2>
The following is a PBE calculation of an optimized crystal structure of AcTbTh2, from Alexandria.

D(E_F) in states/eV per atom: 1.6819

Lattice parameters (Å, degrees): 5.139 5.139 5.254 90.00 90.00 90.00
Space group P4/mmm (No. 123)
Asymmetric unit:
Ac 0.000 0.000 0.000
Tb 0.500 0.500 0.000
Th 0.000 0.500 0.500

***

Short version: <2> is the most stable of them.

***

<1>
The following is a PBE calculation of an optimized crystal structure of Ac2TbTl3, from Alexandria.

D(E_F) in states/eV per atom: 0.8764

Lattice parameters (Å, degrees): 3.991 3.991 12.270 90.00 90.00 90.00
Space group P4/mmm (No. 123)
Asymmetric unit:
Ac 0.000 0.000 0.177
Tb 0.000 0.000 0.500
Tl 0.500 0.500 0.000
Tl 0.500 0.500 0.358

***

<2>
The following is a PBE calculation of an optimized crystal structure of Ac2TbTl3, from Alexandria.

D(E_F) in states/eV per atom: 0.9652

Lattice parameters (Å, degrees): 3.910 29.762 7.288 90.00 90.00 90.00
Space group Cmcm (No. 63)
Asymmetric unit:
Ac 0.000 0.011 0.250
Ac 0.000 0.163 0.750
Tb 0.000 0.343 0.750
Tl 0.000 0.242 0.250
Tl 0.000 0.422 0.035

***

Short version: <1> is the most stable of them.

***

<1>
The following is a PBE calculation of an optimized crystal structure of AcTb2Tm6, from Alexandria.

D(E_F) in states/eV per atom: 1.6708

Lattice parameters (Å, degrees): 6.8038 6.8038 25.3094 90.00 90.00 120.00
Space group R3m (No. 160, hexagonal axes)
Asymmetric unit:
Ac 0.0000 0.0000 0.0000
Tb 0.0000 0.0000 0.2402
Tb 0.0000 0.0000 0.4204
Tm 0.0028 0.5014 0.2164
Tm 0.1706 0.3411 0.7830

***

<2>
The following is a PBE calculation of an optimized crystal structure of AcTb2Tm6, from Alexandria.

D(E_F) in states/eV per atom: 1.7211

Lattice parameters (Å, degrees): 3.6027 3.6027 26.0664 90.00 90.00 120.00
Space group P-6m2 (No. 187)
Asymmetric unit:
Ac 0.0000 0.0000 0.0000
Tb 0.3333 0.6667 0.3305
Tm 0.0000 0.0000 0.2223
Tm 0.0000 0.0000 0.4364
Tm 0.3333 0.6667 0.1179

***

Short version: <2> is the most stable of them.

***

<1>
The following is a PBE calculation of an optimized crystal structure of AcTb2Tm, from Alexandria.

D(E_F) in states/eV per atom: 1.6824

Lattice parameters (Å, degrees): 5.131 5.131 5.213 90.00 90.00 90.00
Space group P4/mmm (No. 123)
Asymmetric unit:
Ac 0.000 0.000 0.000
Tb 0.000 0.500 0.500
Tm 0.500 0.500 0.000

***

<2>
The following is a PBE calculation of an optimized crystal structure of AcTb2Tm, from Alexandria.

D(E_F) in states/eV per atom: 1.4312

Lattice parameters (Å, degrees): 3.5731 3.5731 37.9190 90.00 90.00 120.00
Space group R-3m (No. 166, hexagonal axes)
Asymmetric unit:
Ac 0.0000 0.0000 0.0000
Tb 0.0000 0.0000 0.0931
Tm 0.0000 0.0000 0.5000

***

Short version: <1> is the most stable of them.

***

<1>
The following is a PBE calculation of an optimized crystal structure of AcTb2Tm, from Alexandria.

D(E_F) in states/eV per atom: 1.6573

Lattice parameters (Å, degrees): 3.673 3.673 10.215 90.00 90.00 90.00
Space group P4/mmm (No. 123)
Asymmetric unit:
Ac 0.000 0.000 0.000
Tb 0.500 0.500 0.266
Tm 0.000 0.000 0.500

***

<2>
The following is a PBE calculation of an optimized crystal structure of AcTb2Tm, from Alexandria.

D(E_F) in states/eV per atom: 1.9049

Lattice parameters (Å, degrees): 8.219 8.219 8.219 90.00 90.00 90.00
Space group Fm-3m (No. 225)
Asymmetric unit:
Ac 0.000 0.000 0.000
Tb 0.250 0.250 0.250
Tm 0.000 0.000 0.500

***

Short version: <1> is the most stable of them.

***

<1>
The following is a PBE calculation of an optimized crystal structure of AcTb3Tm6, from Alexandria.

D(E_F) in states/eV per atom: 1.5699

Lattice parameters (Å, degrees): 5.570 8.494 8.895 105.79 108.20 108.97
Space group P-1 (No. 2)
Asymmetric unit:
Ac 0.000 0.000 0.000
Tb 0.000 0.500 0.500
Tb 0.036 0.770 0.303
Tm 0.314 0.479 0.146
Tm 0.345 0.234 0.455
Tm 0.392 0.034 0.750

***

<2>
The following is a PBE calculation of an optimized crystal structure of AcTb3Tm6, from Alexandria.

D(E_F) in states/eV per atom: 1.2936

Lattice parameters (Å, degrees): 9.468 15.523 8.873 90.00 90.00 90.00
Space group Cmc2_1 (No. 36)
Asymmetric unit:
Ac 0.000 0.222 0.000
Tb 0.000 0.452 0.902
Tb 0.171 0.141 0.420
Tm 0.000 0.048 0.771
Tm 0.000 0.291 0.622
Tm 0.178 0.354 0.264
Tm 0.249 0.445 0.590

***

Short version: <2> is the most stable of them.